# NpNi2H8Rh

A relaxed NpNi2H8Rh crystal (PBE-GGA, the Alexandria database).

a = 4.5112 Å, b = 4.5112 Å, c = 5.9051 Å
α = 67.54°, β = 67.54°, γ = 60.00°
With the nearest neighbours (Å) after each atom.
Fractional positions:
Np 0.5000 0.5000 0.5000  6 H 2.28
Ni 0.2814 0.2814 0.1557  4 H 1.57-1.63
Ni 0.7186 0.7186 0.8443  4 H 1.57-1.63
H 0.1825 0.1825 0.4526  1 Ni 1.57
H 0.6330 0.2996 0.1577  1 Ni 1.63, 1 Rh 1.73
H 0.8175 0.8175 0.5474  1 Ni 1.57
H 0.9097 0.6330 0.1577  1 Ni 1.63, 1 Rh 1.73
H 0.0903 0.3670 0.8423  1 Ni 1.63, 1 Rh 1.73
H 0.2996 0.9097 0.1577  1 Ni 1.63, 1 Rh 1.73
H 0.7004 0.0903 0.8423  1 Ni 1.63, 1 Rh 1.73
H 0.3670 0.7004 0.8423  1 Ni 1.63, 1 Rh 1.73
Rh 0.0000 0.0000 0.0000  6 H 1.73

Values from the calculation:
DOS at the Fermi energy ... 1.067 states/eV/atom
Magnetic moment ... 3.711 μB/f.u.
VASP energy ... -59.5 eV per formula unit
Space group ... R-3

***

# NpNiHRu2

A relaxed NpNiHRu2 crystal (PBE-GGA, the Alexandria database).

a = 3.7707 Å, b = 4.1014 Å, c = 4.1014 Å
α = 90.00°, β = 90.00°, γ = 90.00°
With the nearest neighbours (Å) after each atom.
Fractional positions:
Np 0.5000 0.5000 0.5000  8 Ru 2.79, 4 Ni 2.90
Ni 0.5000 0.0000 0.0000  2 H 1.89
H 0.0000 0.0000 0.0000  2 Ni 1.89, 4 Ru 2.05
Ru 0.0000 0.0000 0.5000  2 H 2.05
Ru 0.0000 0.5000 0.0000  2 H 2.05

Values from the calculation:
DOS at the Fermi energy ... 1.678 states/eV/atom
Magnetic moment ... 0.928 μB/f.u.
VASP energy ... -41.1 eV per formula unit
Space group ... P4/mmm

***

# Sr2NpNi3H12

A relaxed Sr2NpNi3H12 crystal (PBE-GGA, the Alexandria database).

a = 6.0860 Å, b = 6.0860 Å, c = 6.0860 Å
α = 64.55°, β = 64.55°, γ = 64.55°
With the nearest neighbours (Å) after each atom.
Fractional positions:
Sr 0.6143 0.6143 0.6143  3 H 2.30
Sr 0.3857 0.3857 0.3857  3 H 2.30
Np 0.0000 0.0000 0.0000  6 H 2.20
Ni 0.5000 0.0000 0.0000  6 H 1.61-1.71
Ni 0.0000 0.5000 0.0000  6 H 1.61-1.71
Ni 0.0000 0.0000 0.5000  6 H 1.61-1.71
H 0.2648 0.2648 0.9028  2 Ni 1.71
H 0.8731 0.8731 0.4204  1 Ni 1.61
H 0.4204 0.8731 0.8731  1 Ni 1.61
H 0.9028 0.2648 0.2648  2 Ni 1.71
H 0.8731 0.4204 0.8731  1 Ni 1.61
H 0.2648 0.9028 0.2648  2 Ni 1.71
H 0.7352 0.7352 0.0972  2 Ni 1.71
H 0.1269 0.1269 0.5796  1 Ni 1.61
H 0.5796 0.1269 0.1269  1 Ni 1.61
H 0.0972 0.7352 0.7352  2 Ni 1.71
H 0.1269 0.5796 0.1269  1 Ni 1.61
H 0.7352 0.0972 0.7352  2 Ni 1.71

Values from the calculation:
DOS at the Fermi energy ... 0.642 states/eV/atom
Magnetic moment ... 4.839 μB/f.u.
VASP energy ... -78.0 eV per formula unit
Space group ... R-3m

***

# NpVNi4H8

A relaxed NpVNi4H8 crystal (PBE-GGA, the Alexandria database).

a = 5.3758 Å, b = 5.3758 Å, c = 5.4113 Å
α = 60.22°, β = 60.22°, γ = 60.00°
With the nearest neighbours (Å) after each atom.
Fractional positions:
Np 0.3783 0.3783 0.8650  4 H 2.07-2.13
V 0.9941 0.9941 0.0177  3 H 1.76
Ni 0.6323 0.6323 0.1032  4 H 1.74
Ni 0.0005 0.5152 0.4838  6 H 1.71-1.81
Ni 0.5152 0.0005 0.4838  6 H 1.71-1.81
Ni 0.0005 0.0005 0.4838  6 H 1.71-1.81
H 0.2176 0.8501 0.7146  2 Ni 1.75, 1 V 1.76
H 0.8501 0.2176 0.7146  2 Ni 1.75, 1 V 1.76
H 0.2176 0.2176 0.7146  2 Ni 1.75, 1 V 1.76
H 0.2181 0.2181 0.3457  3 Ni 1.71
H 0.7355 0.2413 0.2877  3 Ni 1.74-1.77
H 0.2413 0.7355 0.2877  3 Ni 1.74-1.77
H 0.7355 0.7355 0.2877  3 Ni 1.74-1.77
H 0.7633 0.7633 0.7101  4 Ni 1.74-1.81

Values from the calculation:
DOS at the Fermi energy ... 0.936 states/eV/atom
Magnetic moment ... 5.652 μB/f.u.
VASP energy ... -72.0 eV per formula unit
Space group ... R3m